First-principles (GGA-PBE) data for a geometry-optimized CeHo2Tm12 structure, as listed in Alexandria via LeMat-Bulk.

Calculated values
- formation energy from the elements (eV/atom) = 0.1206
- uncorrected energy (eV/f.u.) = -66.939
- DOS(E_F) (states/eV/atom) = 1.791
- mass density (g/cm³) = 9.0

a = 3.5111 Å, b = 5.5261 Å, c = 23.7894 Å
α = 90.00°, β = 93.99°, γ = 90.00°
Space group P2/m (No. 10)
Symmetry-distinct sites (fractional):
Ce 0.0000 0.0000 0.0000 [1 per cell]
Ho 0.3541 0.0000 0.7185 [2 per cell]
Tm 0.0923 0.5000 0.1929 [2 per cell]
Tm 0.1706 0.5000 0.3298 [2 per cell]
Tm 0.2142 0.0000 0.4219 [2 per cell]
Tm 0.2752 0.5000 0.5552 [2 per cell]
Tm 0.4353 0.0000 0.8632 [2 per cell]
Tm 0.4680 0.5000 0.9328 [2 per cell]